Run A
HfCd3Os | Alexandria | PBE-GGA | optimized geometry; M_tot = 1.86 μB per formula unit; mass density = 7.279 g cm⁻³; DOS(E_F) = 3.6 states/eV/cell
1.0
5.441 0.000 0.000
0.000 5.441 0.000
0.000 0.000 5.441
Hf Cd Os
1 3 1
Direct
0.000 0.000 0.000 Hf
0.000 0.000 0.500 Cd
0.000 0.500 0.000 Cd
0.500 0.000 0.000 Cd
0.500 0.500 0.500 Os



Run B
HfCd3Os | Alexandria | PBE-GGA | optimized geometry; M_tot = 0.00 μB per formula unit; mass density = 9.000 g cm⁻³; DOS(E_F) = 7.3 states/eV/cell
1.0
5.069 0.000 0.000
0.000 5.069 0.000
0.000 0.000 5.069
Hf Cd Os
1 3 1
Direct
0.000 0.000 0.000 Hf
0.000 0.500 0.500 Cd
0.500 0.000 0.500 Cd
0.500 0.500 0.000 Cd
0.500 0.500 0.500 Os



It is run B that is most stable; the runner-up trails by 0.863 eV/atom.



Run A
HfCd3P | Alexandria | PBE-GGA | optimized geometry; M_tot = 0.00 μB per formula unit; mass density = 5.384 g cm⁻³; DOS(E_F) = 6.9 states/eV/cell
1.0
5.525 0.000 0.000
0.000 5.525 0.000
0.000 0.000 5.525
Hf Cd P
1 3 1
Direct
0.000 0.000 0.000 Hf
0.000 0.000 0.500 Cd
0.000 0.500 0.000 Cd
0.500 0.000 0.000 Cd
0.500 0.500 0.500 P



Run B
HfCd3P | Alexandria | PBE-GGA | optimized geometry; M_tot = 0.00 μB per formula unit; mass density = 7.288 g cm⁻³; DOS(E_F) = 4.9 states/eV/cell
1.0
4.994 0.000 0.000
0.000 4.994 0.000
0.000 0.000 4.994
Hf Cd P
1 3 1
Direct
0.000 0.000 0.000 Hf
0.000 0.500 0.500 Cd
0.500 0.000 0.500 Cd
0.500 0.500 0.000 Cd
0.500 0.500 0.500 P



It is run B that is most stable; the runner-up trails by 0.555 eV/atom.